# 1
# CsNbAg2Hg

Crystalline CsNbAg2Hg at its relaxed geometry (PBE, Alexandria via LeMat-Bulk).

a = 5.546 Å, b = 5.641 Å, c = 5.546 Å
α = 90.00°, β = 90.00°, γ = 90.00°
Site moments in Bohr magnetons follow the coordinates.
Positions (direct):
Cs  0.500  0.500  0.500  0.01
Nb  0.000  0.000  0.000  2.26
Hg  0.000  0.500  0.000  0.10
Ag  0.000  0.000  0.500  0.07
Ag  0.500  0.000  0.000  0.07

Results
**Calculated volume**: 34.7 Å³/atom
**Space group**: P4/mmm (123)
**Energy relative to the elements**: 0.7094 eV per atom
**E**: -2.676 eV/atom
**Size of the total moment**: 0.675 μB per atom

---

# 2
# CsNiAgHg2

Crystalline CsNiAgHg2 at its relaxed geometry (PBE, Alexandria via LeMat-Bulk).

a = 5.227 Å, b = 5.227 Å, c = 5.273 Å
α = 90.00°, β = 90.00°, γ = 90.00°
Positions (direct):
Cs  0.500  0.500  0.500
Ni  0.000  0.000  0.000
Hg  0.000  0.500  0.000
Hg  0.500  0.000  0.000
Ag  0.000  0.000  0.500

Results
**Calculated volume**: 28.8 Å³/atom
**Space group**: P4/mmm (123)
**Energy relative to the elements**: 0.0504 eV per atom
**E**: -1.968 eV/atom
**Size of the total moment**: 0.000 μB per atom

---

# 3
# Cs2AgHgO2

Crystalline Cs2AgHgO2 at its relaxed geometry (PBE, Alexandria via LeMat-Bulk).

a = 5.808 Å, b = 9.491 Å, c = 8.506 Å
α = 123.91°, β = 90.00°, γ = 90.00°
Positions (direct):
Cs  0.204  0.830  0.374
Cs  0.204  0.456  0.626
Cs  0.704  0.170  0.626
Cs  0.704  0.544  0.374
Ag  0.453  0.000  0.000
Ag  0.953  0.000  0.000
Hg  0.704  0.695  0.000
Hg  0.204  0.305  0.000
O  0.704  0.824  0.284
O  0.704  0.539  0.716
O  0.204  0.461  0.284
O  0.204  0.176  0.716

Results
**Calculated volume**: 32.4 Å³/atom
**Space group**: Cmcm (63)
**ΔE_f (raw)**: -14.4 kcal/mol of atoms
**E**: -3.089 eV/atom
**Size of the total moment**: 0.014 μB per atom

---

# 4
# CsAgHg2Pb

Crystalline CsAgHg2Pb at its relaxed geometry (PBE, Alexandria via LeMat-Bulk).

a = 6.161 Å, b = 6.161 Å, c = 5.463 Å
α = 90.00°, β = 90.00°, γ = 90.00°
Positions (direct):
Pb  0.000  0.000  0.000
Cs  0.500  0.500  0.500
Hg  0.000  0.500  0.000
Hg  0.500  0.000  0.000
Ag  0.000  0.000  0.500

Results
**Calculated volume**: 41.5 Å³/atom
**Space group**: P4/mmm (123)
**Polymorph energy (0 for the lowest one)**: 0 meV per atom
**Energy relative to the elements**: 0.0018 eV per atom
**E**: -1.602 eV/atom
**Size of the total moment**: 0.000 μB per atom

---

# 5
# Cs2AgHgPb

Crystalline Cs2AgHgPb at its relaxed geometry (PBE, Alexandria via LeMat-Bulk).

a = 7.137 Å, b = 7.137 Å, c = 5.340 Å
α = 90.00°, β = 90.00°, γ = 90.00°
Positions (direct):
Pb  0.000  0.000  0.500
Cs  0.000  0.500  0.000
Cs  0.500  0.000  0.000
Hg  0.500  0.500  0.500
Ag  0.000  0.000  0.000

Results
**Calculated volume**: 54.4 Å³/atom
**Space group**: P4/mmm (123)
**Energy relative to the elements**: 0.0245 eV per atom
**E**: -1.689 eV/atom
**Size of the total moment**: 0.000 μB per atom

---

# 6
# Cs2AgHg6Pb

Crystalline Cs2AgHg6Pb at its relaxed geometry (PBE, Alexandria via LeMat-Bulk).

a = 7.772 Å, b = 8.393 Å, c = 7.803 Å
α = 62.24°, β = 60.09°, γ = 89.99°
Positions (direct):
Cs  0.782  0.356  0.432
Cs  0.218  0.644  0.568
Ag  0.000  0.000  0.000
Hg  0.236  0.166  0.514
Hg  0.755  0.838  0.920
Hg  0.325  0.838  0.910
Hg  0.675  0.162  0.090
Hg  0.245  0.162  0.080
Hg  0.764  0.834  0.486
Pb  0.500  0.500  0.000

Results
**Calculated volume**: 37.2 Å³/atom
**Space group**: P-1 (2)
**Energy relative to the elements**: -0.1219 eV per atom
**E**: -1.130 eV/atom
**Size of the total moment**: 0.000 μB per atom

---

# 7
# CsAgHg2Pb

Crystalline CsAgHg2Pb at its relaxed geometry (PBE, Alexandria via LeMat-Bulk).

a = 5.656 Å, b = 5.656 Å, c = 5.612 Å
α = 90.00°, β = 90.00°, γ = 90.00°
Positions (direct):
Pb  0.000  0.000  0.500
Cs  0.500  0.500  0.500
Hg  0.000  0.500  0.000
Hg  0.500  0.000  0.000
Ag  0.000  0.000  0.000

Results
**Calculated volume**: 35.9 Å³/atom
**Space group**: P4/mmm (123)
**Polymorph energy (0 for the lowest one)**: 29 meV per atom
**Energy relative to the elements**: 0.0303 eV per atom
**E**: -1.573 eV/atom
**Size of the total moment**: 0.000 μB per atom

---

# 8
# CsAgHg2Pd

Crystalline CsAgHg2Pd at its relaxed geometry (PBE, Alexandria via LeMat-Bulk).

a = 5.406 Å, b = 5.406 Å, c = 5.435 Å
α = 90.00°, β = 90.00°, γ = 90.00°
Positions (direct):
Cs  0.500  0.500  0.500
Pd  0.000  0.000  0.000
Hg  0.000  0.500  0.000
Hg  0.500  0.000  0.000
Ag  0.000  0.000  0.500

Results
**Calculated volume**: 31.8 Å³/atom
**Space group**: P4/mmm (123)
**Energy relative to the elements**: -0.1274 eV per atom
**E**: -2.028 eV/atom
**Size of the total moment**: 0.000 μB per atom

---

# 9
# Cs2AgHgPd

Crystalline Cs2AgHgPd at its relaxed geometry (PBE, Alexandria via LeMat-Bulk).

a = 6.543 Å, b = 6.543 Å, c = 5.304 Å
α = 90.00°, β = 90.00°, γ = 90.00°
Positions (direct):
Cs  0.000  0.500  0.000
Cs  0.500  0.000  0.000
Pd  0.000  0.000  0.000
Hg  0.500  0.500  0.500
Ag  0.000  0.000  0.500

Results
**Calculated volume**: 45.4 Å³/atom
**Space group**: P4/mmm (123)
**Polymorph energy (0 for the lowest one)**: 38 meV per atom
**Energy relative to the elements**: 0.0566 eV per atom
**E**: -1.954 eV/atom
**Size of the total moment**: 0.000 μB per atom

---

# 10
# Cs2AgHgPd

Crystalline Cs2AgHgPd at its relaxed geometry (PBE, Alexandria via LeMat-Bulk).

a = 6.617 Å, b = 6.617 Å, c = 5.319 Å
α = 90.00°, β = 90.00°, γ = 90.00°
Positions (direct):
Cs  0.000  0.500  0.000
Cs  0.500  0.000  0.000
Pd  0.000  0.000  0.000
Hg  0.000  0.000  0.500
Ag  0.500  0.500  0.500

Results
**Calculated volume**: 46.6 Å³/atom
**Space group**: P4/mmm (123)
**Polymorph energy (0 for the lowest one)**: 0 meV per atom
**Energy relative to the elements**: 0.0190 eV per atom
**E**: -1.992 eV/atom
**Size of the total moment**: 0.000 μB per atom

---

# 11
# Cs4AgHg12Pt3

Crystalline Cs4AgHg12Pt3 at its relaxed geometry (PBE, Alexandria via LeMat-Bulk).

a = 9.500 Å, b = 9.500 Å, c = 9.500 Å
α = 109.47°, β = 109.47°, γ = 109.47°
Positions (direct):
Cs  0.500  0.500  0.500
Cs  0.000  0.000  0.500
Cs  0.500  0.000  0.000
Cs  0.000  0.500  0.000
Ag  0.000  0.000  0.000
Hg  0.250  0.500  0.750
Hg  0.746  0.000  0.746
Hg  0.254  0.000  0.254
Hg  0.750  0.500  0.250
Hg  0.746  0.746  0.000
Hg  0.254  0.254  0.000
Hg  0.750  0.250  0.500
Hg  0.250  0.750  0.500
Hg  0.500  0.250  0.750
Hg  0.000  0.746  0.746
Hg  0.500  0.750  0.250
Hg  0.000  0.254  0.254
Pt  0.500  0.000  0.500
Pt  0.500  0.500  0.000
Pt  0.000  0.500  0.500

Results
**Calculated volume**: 33.0 Å³/atom
**Space group**: Im-3m (229)
**Energy relative to the elements**: -0.2480 eV per atom
**E**: -1.648 eV/atom
**Size of the total moment**: 0.000 μB per atom

---

# 12
# CsRb2AgHg

Crystalline CsRb2AgHg at its relaxed geometry (PBE, Alexandria via LeMat-Bulk).

a = 6.931 Å, b = 6.931 Å, c = 5.712 Å
α = 90.00°, β = 90.00°, γ = 90.00°
Positions (direct):
Cs  0.500  0.500  0.500
Rb  0.000  0.500  0.000
Rb  0.500  0.000  0.000
Hg  0.000  0.000  0.500
Ag  0.000  0.000  0.000

Results
**Calculated volume**: 54.9 Å³/atom
**Space group**: P4/mmm (123)
**Polymorph energy (0 for the lowest one)**: 99 meV per atom
**Energy relative to the elements**: 0.0181 eV per atom
**E**: -1.170 eV/atom
**Size of the total moment**: 0.000 μB per atom